VASP calculation (PBE) on a geometry-optimized YBi2S6 structure. Values from VASP.

Geometry as Quantum ESPRESSO input:
```
&SYSTEM
  ibrav = 0, nat = 18, ntyp = 3
/
ATOMIC_SPECIES
S 32.06 S.upf
Bi 208.98 Bi.upf
Y 88.91 Y.upf
ATOMIC_POSITIONS angstrom
S 5.065 1.206 2.121
S 1.915 1.915 0.000
Bi 0.000 0.000 4.255
S 1.206 5.065 2.121
Bi 3.135 3.135 2.083
S 4.341 4.341 4.218
S 1.206 5.065 10.556
S 1.929 1.929 4.218
S 4.341 4.341 8.459
Bi 3.135 3.135 10.593
Y 3.135 3.135 6.338
S 4.356 4.356 0.000
S 1.929 1.929 8.459
Bi 0.000 0.000 8.421
S 5.065 1.206 10.556
Y 0.000 0.000 0.000
S 5.050 1.220 6.338
S 1.220 5.050 6.338
CELL_PARAMETERS angstrom
6.271 0.000 0.000
0.000 6.271 0.000
0.000 0.000 12.676
```

D(E_F), states/eV/cell: 16.0
E_tot, eV per atom: -4.73
Space-group type: P4_2/mnm (136)
Formation energy from raw total energies, eV/atom: -0.39
M_tot, μB/atom: 0.000
Calculated volume, Å³ per cell: 498